[1]
This record from Alexandria via LeMat-Bulk describes an optimized crystal structure of SmYEr2As4. The functional is GGA-PBE.

formation energy from the elements	-147	kJ per mole of atoms
symmetry	P2/m (10)
E	-51.13	eV for the cell shown
M_tot	0.00	μB per formula unit
volume	198.7	Å³/cell

The structure in POSCAR format:
```
SmYEr2As4
1.0
4.128 0.000 0.000
0.000 7.144 -0.141
0.000 2.514 6.689
Er Sm As Y
2 1 4 1
Direct
0.500 0.000 0.500
0.000 0.000 0.000
0.500 0.500 0.000
0.000 0.243 0.255
0.500 0.755 0.251
0.000 0.757 0.745
0.500 0.245 0.749
0.000 0.500 0.500
```

[2]
This record from Alexandria via LeMat-Bulk describes an optimized crystal structure of Sm2Y3ErAs6. The functional is GGA-PBE.

formation energy from the elements	-148	kJ per mole of atoms
symmetry	C2/m (12)
E	-79.74	eV for the cell shown
M_tot	0.00	μB per formula unit
volume	302.8	Å³/cell

The structure in POSCAR format:
```
Sm2Y3ErAs6
1.0
-0.102 3.190 2.652
-7.962 1.328 -1.904
-0.414 -7.374 5.607
Y As Sm Er
3 6 2 1
Direct
0.167 0.834 0.334
0.833 0.166 0.666
0.500 0.500 0.000
0.666 0.079 0.331
0.334 0.921 0.669
0.002 0.753 0.003
0.998 0.247 0.997
0.666 0.586 0.331
0.334 0.414 0.669
0.834 0.668 0.668
0.166 0.332 0.332
0.500 0.000 0.000
```

[3]
This record from Alexandria via LeMat-Bulk describes an optimized crystal structure of ErSnAs. The functional is GGA-PBE.

formation energy from the elements	-61	kJ per mole of atoms
symmetry	Amm2 (38)
E	-30.22	eV for the cell shown
M_tot	0.00	μB per formula unit
volume	148.1	Å³/cell

The structure in POSCAR format:
```
ErSnAs
1.0
-1.149 -4.352 -3.065
2.557 2.873 -0.200
6.512 -5.429 5.268
Er Sn As
2 2 2
Direct
0.697 0.393 0.692
0.697 0.393 0.308
0.197 0.395 0.500
0.681 0.362 0.000
0.197 0.395 0.798
0.197 0.395 0.202
```

[4]
This record from Alexandria via LeMat-Bulk describes an optimized crystal structure of Er4SnTe2As. The functional is GGA-PBE.

symmetry	P2/m (10)
E	-42.97	eV for the cell shown
M_tot	0.00	μB per formula unit
volume	222.7	Å³/cell

The structure in POSCAR format:
```
Er4SnTe2As
1.0
4.267 0.000 0.000
0.000 7.410 0.136
0.000 -2.582 6.998
As Er Sn Te
1 4 1 2
Direct
0.000 0.000 0.000
0.000 0.751 0.231
0.500 0.234 0.224
0.500 0.766 0.776
0.000 0.249 0.769
0.500 0.500 0.000
0.500 0.000 0.500
0.000 0.500 0.500
```

[5]
This record from Alexandria via LeMat-Bulk describes an optimized crystal structure of Sr2ErThAs4. The functional is GGA-PBE.

formation energy from the elements	-122	kJ per mole of atoms
symmetry	P2/m (10)
E	-44.04	eV for the cell shown
M_tot	0.00	μB per formula unit
volume	230.5	Å³/cell

The structure in POSCAR format:
```
Sr2ErThAs4
1.0
4.321 0.000 0.000
0.000 7.410 0.110
0.000 -2.609 7.160
As Sr Er Th
4 2 1 1
Direct
0.000 0.737 0.223
0.000 0.263 0.777
0.500 0.246 0.226
0.500 0.754 0.774
0.500 0.000 0.500
0.000 0.500 0.500
0.500 0.500 0.000
0.000 0.000 0.000
```

[6]
This record from Alexandria via LeMat-Bulk describes an optimized crystal structure of Sr3ErTh2As6. The functional is GGA-PBE.

formation energy from the elements	-125	kJ per mole of atoms
symmetry	C2/m (12)
E	-67.87	eV for the cell shown
M_tot	0.00	μB per formula unit
volume	349.8	Å³/cell

The structure in POSCAR format:
```
Sr3ErTh2As6
1.0
-3.253 3.459 -5.789
6.540 -3.523 -0.934
-4.606 -6.053 0.586
As Th Sr Er
6 2 3 1
Direct
0.075 0.405 0.225
0.925 0.595 0.775
0.745 0.745 0.226
0.255 0.255 0.774
0.405 0.075 0.225
0.595 0.925 0.775
0.666 0.334 0.000
0.334 0.666 0.000
0.500 0.500 0.500
0.833 0.167 0.500
0.167 0.833 0.500
0.000 0.000 0.000
```

[7]
This record from Alexandria via LeMat-Bulk describes an optimized crystal structure of Sr4ErTh3As8. The functional is GGA-PBE.

formation energy from the elements	-126	kJ per mole of atoms
symmetry	R-3m (166)
E	-91.71	eV for the cell shown
M_tot	0.00	μB per formula unit
volume	469.0	Å³/cell

The structure in POSCAR format:
```
Sr4ErTh3As8
1.0
8.671 0.000 0.000
0.000 8.772 0.063
-4.336 -4.331 6.135
As Sr Th Er
8 4 3 1
Direct
0.745 0.725 0.985
0.760 0.275 0.520
0.240 0.725 0.985
0.257 0.272 0.515
0.743 0.728 0.485
0.255 0.275 0.015
0.240 0.725 0.480
0.760 0.275 0.015
0.500 0.000 0.000
0.000 0.000 0.500
0.000 0.000 0.000
0.500 0.000 0.500
0.500 0.500 0.500
0.000 0.500 0.500
0.500 0.500 0.000
0.000 0.500 0.000
```

[8]
This record from Alexandria via LeMat-Bulk describes an optimized crystal structure of Sr3ErU2As6. The functional is GGA-PBE.

formation energy from the elements	-105	kJ per mole of atoms
symmetry	C2/m (12)
E	-73.13	eV for the cell shown
M_tot	3.01	μB per formula unit
volume	332.6	Å³/cell

The structure in POSCAR format:
```
Sr3ErU2As6
1.0
-6.648 -3.029 -0.786
6.033 -4.018 -1.204
0.280 0.407 7.507
U Er As Sr
2 1 6 3
Direct
0.667 0.333 0.000
0.333 0.667 0.000
0.000 0.000 0.000
0.412 0.072 0.216
0.072 0.412 0.216
0.928 0.588 0.784
0.588 0.928 0.784
0.732 0.732 0.216
0.268 0.268 0.784
0.165 0.835 0.500
0.500 0.500 0.500
0.835 0.165 0.500
```

[9]
This record from Alexandria via LeMat-Bulk describes an optimized crystal structure of Sr2ErUAs4. The functional is GGA-PBE.

formation energy from the elements	-110	kJ per mole of atoms
symmetry	P2/m (10)
E	-46.95	eV for the cell shown
M_tot	1.00	μB per formula unit
volume	221.0	Å³/cell

The structure in POSCAR format:
```
Sr2ErUAs4
1.0
-2.334 0.187 -3.562
2.867 -6.328 -2.210
-6.211 -1.405 3.996
As Er Sr U
4 1 2 1
Direct
0.000 0.749 0.217
0.000 0.251 0.783
0.500 0.232 0.215
0.500 0.768 0.785
0.500 0.500 0.000
0.500 0.000 0.500
0.000 0.500 0.500
0.000 0.000 0.000
```

[10]
This record from Alexandria via LeMat-Bulk describes an optimized crystal structure of Sr3Er2UAs6. The functional is GGA-PBE.

formation energy from the elements	-116	kJ per mole of atoms
symmetry	C2/m (12)
E	-67.80	eV for the cell shown
M_tot	0.00	μB per formula unit
volume	328.9	Å³/cell

The structure in POSCAR format:
```
Sr3Er2UAs6
1.0
-3.620 -1.470 -6.164
-2.032 -3.147 6.263
-2.538 6.980 1.266
U Er As Sr
1 2 6 3
Direct
0.000 0.000 0.000
0.334 0.666 0.000
0.666 0.334 0.000
0.753 0.753 0.216
0.608 0.928 0.784
0.392 0.072 0.216
0.247 0.247 0.784
0.072 0.392 0.216
0.928 0.608 0.784
0.500 0.500 0.500
0.170 0.830 0.500
0.830 0.170 0.500
```

[11]
This record from Alexandria via LeMat-Bulk describes an optimized crystal structure of Sr2ErZrAs4. The functional is GGA-PBE.

formation energy from the elements	-113	kJ per mole of atoms
symmetry	P2/m (10)
E	-44.47	eV for the cell shown
M_tot	0.00	μB per formula unit
volume	211.2	Å³/cell

The structure in POSCAR format:
```
Sr2ErZrAs4
1.0
-3.988 0.172 -1.039
1.405 -3.682 -6.003
-1.632 -4.902 5.455
As Sr Er Zr
4 2 1 1
Direct
0.500 0.771 0.786
0.500 0.229 0.214
0.000 0.251 0.783
0.000 0.749 0.217
0.000 0.500 0.500
0.500 0.000 0.500
0.500 0.500 0.000
0.000 0.000 0.000
```

[12]
This record from Alexandria via LeMat-Bulk describes an optimized crystal structure of ErTaAs2. The functional is GGA-PBE.

formation energy from the elements	-86	kJ per mole of atoms
symmetry	R3m (160)
E	-29.27	eV for the cell shown
M_tot	0.00	μB per formula unit
volume	82.5	Å³/cell

The structure in POSCAR format:
```
ErTaAs2
1.0
3.761 0.000 0.000
1.880 3.257 0.000
1.880 1.086 6.733
As Er Ta
2 1 1
Direct
0.242 0.242 0.273
0.090 0.090 0.730
0.671 0.671 0.988
0.497 0.497 0.509
```

[13]
This record from Alexandria via LeMat-Bulk describes an optimized crystal structure of Tb2ErAs3. The functional is GGA-PBE.

formation energy from the elements	-148	kJ per mole of atoms
symmetry	I4/mmm (139)
E	-36.97	eV for the cell shown
M_tot	0.00	μB per formula unit
volume	148.3	Å³/cell

The structure in POSCAR format:
```
Tb2ErAs3
1.0
-2.060 2.060 8.739
2.060 -2.060 8.739
2.060 2.060 -8.739
Tb Er As
2 1 3
Direct
0.333 0.333 0.000
0.667 0.667 0.000
0.000 0.000 0.000
0.166 0.166 0.000
0.500 0.500 0.000
0.834 0.834 0.000
```

[14]
This record from Alexandria via LeMat-Bulk describes an optimized crystal structure of TbEr5As6. The functional is GGA-PBE.

formation energy from the elements	-147	kJ per mole of atoms
symmetry	C2/m (12)
E	-73.63	eV for the cell shown
M_tot	0.00	μB per formula unit
volume	290.7	Å³/cell

The structure in POSCAR format:
```
TbEr5As6
1.0
7.004 0.171 1.064
1.721 5.942 3.464
0.118 0.065 7.087
Er As Tb
5 6 1
Direct
0.500 0.834 0.332
0.500 0.166 0.668
0.000 0.333 0.334
0.500 0.500 0.000
0.000 0.667 0.666
0.251 0.252 0.000
0.749 0.084 0.335
0.749 0.419 0.665
0.251 0.581 0.335
0.251 0.916 0.665
0.749 0.748 0.000
0.000 0.000 0.000
```

[15]
This record from Alexandria via LeMat-Bulk describes an optimized crystal structure of TbErAs. The functional is GGA-PBE.

formation energy from the elements	-85	kJ per mole of atoms
symmetry	P4/nmm (129)
E	-32.96	eV for the cell shown
M_tot	0.00	μB per formula unit
volume	147.5	Å³/cell

The structure in POSCAR format:
```
TbErAs
1.0
-1.589 -3.085 -2.482
3.629 -2.205 0.417
-3.009 -3.715 6.543
As Tb Er
2 2 2
Direct
0.836 0.336 0.783
0.336 0.836 0.217
0.337 0.337 0.500
0.837 0.837 0.500
0.336 0.836 0.858
0.836 0.336 0.142
```

[16]
This record from Alexandria via LeMat-Bulk describes an optimized crystal structure of Tb5Er3As8. The functional is GGA-PBE.

formation energy from the elements	-148	kJ per mole of atoms
symmetry	R-3m (166)
E	-98.55	eV for the cell shown
M_tot	0.00	μB per formula unit
volume	394.7	Å³/cell

The structure in POSCAR format:
```
Tb5Er3As8
1.0
7.145 0.000 4.093
2.400 6.730 4.093
0.028 0.020 8.234
As Tb Er
8 5 3
Direct
0.751 0.751 0.746
0.750 0.248 0.252
0.250 0.250 0.748
0.752 0.250 0.748
0.249 0.249 0.254
0.250 0.752 0.748
0.750 0.750 0.252
0.248 0.750 0.252
0.500 0.500 0.500
0.500 0.500 0.000
0.500 0.000 0.000
0.000 0.500 0.000
0.000 0.000 0.000
0.000 0.500 0.500
0.000 0.000 0.500
0.500 0.000 0.500
```

[17]
This record from Alexandria via LeMat-Bulk describes an optimized crystal structure of TbErAs. The functional is GGA-PBE.

formation energy from the elements	-71	kJ per mole of atoms
symmetry	I4mm (107)
E	-16.04	eV for the cell shown
M_tot	0.88	μB per formula unit
volume	77.1	Å³/cell

The structure in POSCAR format:
```
TbErAs
1.0
3.677 0.000 0.000
0.000 3.677 0.000
-1.839 -1.839 5.700
Tb Er As
1 1 1
Direct
0.973 0.973 0.946
0.257 0.257 0.513
0.620 0.620 0.241
```

[18]
This record from Alexandria via LeMat-Bulk describes an optimized crystal structure of Tb2ErAs. The functional is GGA-PBE.

formation energy from the elements	-35	kJ per mole of atoms
symmetry	R-3m (166)
E	-19.93	eV for the cell shown
M_tot	0.59	μB per formula unit
volume	127.9	Å³/cell

The structure in POSCAR format:
```
Tb2ErAs
1.0
3.797 0.000 0.000
1.898 3.288 0.000
1.898 1.096 10.246
Tb As Er
2 1 1
Direct
0.890 0.890 0.331
0.110 0.110 0.669
0.500 0.500 0.500
0.000 0.000 0.000
```

[19]
This record from Alexandria via LeMat-Bulk describes an optimized crystal structure of TbEr4As5. The functional is GGA-PBE.

formation energy from the elements	-147	kJ per mole of atoms
symmetry	I4/m (87)
E	-61.37	eV for the cell shown
M_tot	0.00	μB per formula unit
volume	242.6	Å³/cell

The structure in POSCAR format:
```
TbEr4As5
1.0
-5.723 0.192 -0.861
-2.232 -3.880 -5.500
-3.621 -5.008 3.479
As Er Tb
5 4 1
Direct
0.303 0.799 0.598
0.901 0.402 0.799
0.102 0.598 0.201
0.699 0.201 0.402
0.501 0.000 0.000
0.400 0.401 0.801
0.801 0.801 0.599
0.602 0.599 0.199
0.201 0.199 0.401
0.001 0.000 0.000
```

[20]
This record from Alexandria via LeMat-Bulk describes an optimized crystal structure of Tb5ErAs6. The functional is GGA-PBE.

formation energy from the elements	-148	kJ per mole of atoms
symmetry	C2/m (12)
E	-74.07	eV for the cell shown
M_tot	0.00	μB per formula unit
volume	298.8	Å³/cell

The structure in POSCAR format:
```
Tb5ErAs6
1.0
7.069 0.173 1.074
1.737 5.997 3.496
0.119 0.065 7.152
Tb As Er
5 6 1
Direct
0.000 0.667 0.667
0.500 0.500 0.000
0.000 0.333 0.333
0.500 0.833 0.334
0.500 0.167 0.666
0.751 0.414 0.669
0.249 0.248 0.000
0.249 0.917 0.669
0.751 0.752 0.000
0.249 0.586 0.331
0.751 0.083 0.331
0.000 0.000 0.000
```